No. 1
Below is a relaxed structure of PuMgGe4, with properties calculated at the PBE-GGA level.

## Properties
- ΔH_f (0 K): -11 kJ/mol of atoms

Cell lengths 7.8560, 7.8560, 7.8560 Å; angles 90.00, 90.00, 90.00 degrees
With the nearest neighbours (Å) after each atom.
Space group F-43m (No. 216)
Symmetry-distinct sites (fractional):
Pu 0.0000 0.0000 0.0000 (multiplicity 4)  12 Ge 3.26, 4 Mg 3.40
Mg 0.2500 0.2500 0.7500 (multiplicity 4)  12 Ge 3.26, 4 Pu 3.40
Ge 0.1245 0.1245 0.3755 (multiplicity 16)  6 Ge 2.77-2.79

=====

No. 2
Below is a relaxed structure of Ca6AlTl2, with properties calculated at the PBE-GGA level.

## Properties
- ΔH_f (0 K): -24 kJ/mol of atoms

Cell lengths 5.4461, 13.2482, 16.3866 Å; angles 90.00, 90.00, 90.00 degrees
With the nearest neighbours (Å) after each atom.
Space group Fmmm (No. 69)
Symmetry-distinct sites (fractional):
Ca 0.0000 0.1394 0.0000 (multiplicity 8)  2 Tl 3.29, 2 Al 3.29
Ca 0.0000 0.1404 0.3356 (multiplicity 16)  1 Al 3.27, 3 Tl 3.30-3.35
Al 0.0000 0.0000 0.5000 (multiplicity 4)  8 Ca 3.27-3.29
Tl 0.0000 0.0000 0.1658 (multiplicity 8)  8 Ca 3.29-3.35

=====

No. 3
Below is a relaxed structure of Ir5Os3, with properties calculated at the PBE-GGA level.

## Properties
- ΔH_f (0 K): 2 kJ/mol of atoms

Cell lengths 2.7581, 4.3828, 9.5668 Å; angles 90.00, 90.00, 90.00 degrees
With the nearest neighbours (Å) after each atom.
Space group Pmm2 (No. 25)
Symmetry-distinct sites (fractional):
Ir 0.0000 0.0000 0.0000 (multiplicity 1)  6 Os 2.71-2.73, 6 Ir 2.71-2.79
Ir 0.0000 0.0000 0.4939 (multiplicity 1)  4 Os 2.70-2.74, 8 Ir 2.71-2.78
Ir 0.0000 0.5000 0.8331 (multiplicity 1)  10 Ir 2.71-2.80, 2 Os 2.76
Ir 0.5000 0.0000 0.7466 (multiplicity 1)  12 Ir 2.72-2.79
Ir 0.5000 0.5000 0.5783 (multiplicity 1)  10 Ir 2.71-2.80, 2 Os 2.76
Os 0.0000 0.5000 0.3284 (multiplicity 1)  4 Ir 2.70-2.76, 8 Os 2.70-2.76
Os 0.5000 0.0000 0.2468 (multiplicity 1)  8 Os 2.69-2.76, 4 Ir 2.73-2.74
Os 0.5000 0.5000 0.0835 (multiplicity 1)  6 Os 2.69-2.76, 6 Ir 2.71-2.76

=====

No. 4
Below is a relaxed structure of CsRb2GeI6, with properties calculated at the PBE-GGA level.

## Properties
- Formation energy (no corrections): -0.8769 eV/atom

Cell lengths 12.9126, 12.9126, 12.9126 Å; angles 90.00, 90.00, 90.00 degrees
With the nearest neighbours (Å) after each atom.
Space group Fm-3m (No. 225)
Symmetry-distinct sites (fractional):
Cs 0.0000 0.0000 0.0000 (multiplicity 4)  6 I 3.58
Rb 0.2500 0.2500 0.2500 (multiplicity 8)  12 I 4.58
Ge 0.0000 0.0000 0.5000 (multiplicity 4)  6 I 2.88
I 0.0000 0.0000 0.2772 (multiplicity 24)  1 Ge 2.88

=====

No. 5
Below is a relaxed structure of Fe6B6W, with properties calculated at the PBE-GGA level.

## Properties
- ΔH_f (0 K): 1 kJ/mol of atoms

Cell lengths 4.2251, 7.1503, 7.2471 Å; angles 90.00, 90.00, 90.00 degrees
With the nearest neighbours (Å) after each atom.
Space group Immm (No. 71)
Symmetry-distinct sites (fractional):
Fe 0.0000 0.0000 0.1551 (multiplicity 4)  6 B 2.19-2.22, 3 Fe 2.25-2.41
Fe 0.0000 0.3413 0.5000 (multiplicity 4)  6 B 2.20-2.25, 1 Fe 2.27, 1 W 2.44
Fe 0.0000 0.5000 0.1855 (multiplicity 4)  6 B 2.13-2.14
B 0.0000 0.2672 0.0000 (multiplicity 4)  4 B 2.10, 6 Fe 2.14-2.25
B 0.2500 0.2500 0.2500 (multiplicity 8)  4 B 2.10-2.11, 6 Fe 2.13-2.20
W 0.0000 0.0000 0.5000 (multiplicity 2)  8 Fe 2.44-2.50, 4 B 2.69

=====

| no. | volume (Å³ per atom) |
| --- | --- |
| 1 | 20.202 |
| 2 | 32.842 |
| 3 | 14.456 |
| 4 | 53.825 |
| 5 | 8.421 |